Model A:
Material: Li2V2P3O12
Method: DFT, GGA+U
State: relaxed

Cell: 12.2045 8.6162 8.7202 Å, 90.00 90.00 90.00°
Space group Pbcn (No. 60)
Asymmetric unit:
Li1 0.1834 0.2191 0.2226 (multiplicity 8)
V1 0.1136 0.2528 0.5373 (multiplicity 8)
P1 0.0000 0.4617 0.2500 (multiplicity 4)
P2 0.1456 0.1046 0.8964 (multiplicity 8)
O1 0.0305 0.1559 0.9427 (multiplicity 8)
O2 0.0673 0.4381 0.6382 (multiplicity 8)
O3 0.0824 0.3567 0.3350 (multiplicity 8)
O4 0.1552 0.0755 0.3978 (multiplicity 8)
O5 0.1762 0.1614 0.7328 (multiplicity 8)
O6 0.2279 0.1726 0.0148 (multiplicity 8)

Calculated values
Total magnetic moment in μB/f.u.: 3.000
Mass density in g cm⁻³: 2.90


Model B:
Material: Li2V2P3O12
Method: DFT, GGA+U
State: relaxed

Cell: 7.7135 8.3943 9.0559 Å, 69.85 84.69 74.97°
Space group P-1 (No. 2)
Asymmetric unit:
Li1 0.2040 0.4235 0.1732 (multiplicity 2)
Li2 0.2749 0.0194 0.2911 (multiplicity 2)
V1 0.1098 0.1481 0.8941 (multiplicity 2)
V2 0.3766 0.3751 0.5868 (multiplicity 2)
P1 0.0334 0.7380 0.5585 (multiplicity 2)
P2 0.1167 0.7763 0.8607 (multiplicity 2)
P3 0.4511 0.7824 0.9586 (multiplicity 2)
O1 0.0108 0.0314 0.1378 (multiplicity 2)
O2 0.0180 0.2690 0.2490 (multiplicity 2)
O3 0.0664 0.6660 0.0353 (multiplicity 2)
O4 0.0891 0.9368 0.4987 (multiplicity 2)
O5 0.1507 0.3144 0.6814 (multiplicity 2)
O6 0.2258 0.6319 0.5573 (multiplicity 2)
O7 0.2523 0.3451 0.7991 (multiplicity 2)
O8 0.2892 0.4339 0.3801 (multiplicity 2)
O9 0.3400 0.9714 0.9420 (multiplicity 2)
O10 0.3867 0.2130 0.1523 (multiplicity 2)
O11 0.4688 0.4610 0.3707 (multiplicity 2)
O12 0.4838 0.8194 0.3631 (multiplicity 2)

Calculated values
Total magnetic moment in μB/f.u.: 1.984
Mass density in g cm⁻³: 2.50


Model C:
Material: Li2V2P3O12
Method: DFT, GGA+U
State: relaxed

Cell: 8.6300 8.6512 8.6856 Å, 60.22 60.29 60.96°
Space group P-1 (No. 2)
Asymmetric unit:
Li1 0.1718 0.3126 0.0603 (multiplicity 2)
Li2 0.2786 0.1703 0.5730 (multiplicity 2)
V1 0.1375 0.6338 0.5776 (multiplicity 2)
V2 0.3668 0.8599 0.9252 (multiplicity 2)
P1 0.0309 0.9687 0.7513 (multiplicity 2)
P2 0.2587 0.4575 0.2504 (multiplicity 2)
P3 0.4560 0.2518 0.7563 (multiplicity 2)
O1 0.0259 0.1479 0.5768 (multiplicity 2)
O2 0.0357 0.7960 0.7373 (multiplicity 2)
O3 0.0980 0.4514 0.2239 (multiplicity 2)
O4 0.1479 0.9983 0.0756 (multiplicity 2)
O5 0.2020 0.4580 0.4494 (multiplicity 2)
O6 0.2137 0.9283 0.7775 (multiplicity 2)
O7 0.2709 0.4196 0.7618 (multiplicity 2)
O8 0.3233 0.6241 0.0918 (multiplicity 2)
O9 0.3687 0.7095 0.4023 (multiplicity 2)
O10 0.4218 0.2663 0.2496 (multiplicity 2)
O11 0.4242 0.0957 0.7418 (multiplicity 2)
O12 0.4627 0.1868 0.9574 (multiplicity 2)

Calculated values
Total magnetic moment in μB/f.u.: 3.000
Mass density in g cm⁻³: 2.87


Calculated relative energies: model A 0.000; model B 0.827; model C 0.007, given in eV/atom


Model A:
Material: Li2VP2O8
Method: DFT, GGA+U
State: relaxed

Cell: 5.0213 7.9170 8.6411 Å, 90.00 118.44 90.00°
Space group P2_1/c (No. 14)
Asymmetric unit:
Li1 0.0168 0.1291 0.1043 (multiplicity 4)
V1 0.0000 0.0000 0.5000 (multiplicity 2)
P1 0.3436 0.6892 0.7900 (multiplicity 4)
O1 0.2009 0.6313 0.2375 (multiplicity 4)
O2 0.2268 0.6214 0.9217 (multiplicity 4)
O3 0.2394 0.5713 0.6364 (multiplicity 4)
O4 0.3057 0.1940 0.5978 (multiplicity 4)

Calculated values
Total magnetic moment in μB/f.u.: 0.997
Mass density in g cm⁻³: 2.80


Model B:
Material: Li2VP2O8
Method: DFT, GGA+U
State: relaxed

Cell: 6.8573 9.2510 10.4459 Å, 90.00 90.00 90.00°
Space group P2_12_12_1 (No. 19)
Asymmetric unit:
Li1 0.1306 0.2045 0.4911 (multiplicity 4)
Li2 0.1362 0.0712 0.8911 (multiplicity 4)
V1 0.2367 0.7883 0.6818 (multiplicity 4)
P1 0.0330 0.9267 0.1505 (multiplicity 4)
P2 0.1281 0.5021 0.8299 (multiplicity 4)
O1 0.0327 0.3547 0.8022 (multiplicity 4)
O2 0.0522 0.2815 0.2996 (multiplicity 4)
O3 0.0637 0.5839 0.9462 (multiplicity 4)
O4 0.1055 0.9000 0.0146 (multiplicity 4)
O5 0.1178 0.5925 0.7040 (multiplicity 4)
O6 0.1444 0.5410 0.3501 (multiplicity 4)
O7 0.1857 0.9993 0.2388 (multiplicity 4)
O8 0.1965 0.2078 0.0319 (multiplicity 4)

Calculated values
Total magnetic moment in μB/f.u.: 1.000
Mass density in g cm⁻³: 2.55


Calculated relative energies: model A 0.000; model B 0.033, given in eV/atom


Model A:
Material: Li2VP2O8
Method: DFT, GGA+U
State: relaxed

Cell: 8.0495 5.3367 6.5273 Å, 90.00 92.61 90.00°
Space group Cm (No. 8)
Asymmetric unit:
Li1 0.0000 0.0000 0.0000 (multiplicity 2)
Li2 0.1736 0.5000 0.2414 (multiplicity 2)
V1 0.4994 0.5000 0.5359 (multiplicity 2)
P1 0.1483 0.5000 0.7594 (multiplicity 2)
P2 0.3366 0.0000 0.3002 (multiplicity 2)
O1 0.0335 0.2615 0.7424 (multiplicity 4)
O2 0.2294 0.0000 0.4940 (multiplicity 2)
O3 0.2302 0.0000 0.1070 (multiplicity 2)
O4 0.2475 0.5000 0.9607 (multiplicity 2)
O5 0.2594 0.5000 0.5672 (multiplicity 2)
O6 0.4564 0.2348 0.3150 (multiplicity 4)

Calculated values
Total magnetic moment in μB/f.u.: 0.995
Mass density in g cm⁻³: 3.02


Model B:
Material: Li2VP2O8
Method: DFT, GGA+U
State: relaxed

Cell: 8.9289 4.8256 15.6954 Å, 90.00 98.54 90.00°
Space group Cc (No. 9)
Asymmetric unit:
Li1 0.0000 0.1623 0.0000 (multiplicity 4)
Li2 0.1770 0.2294 0.3815 (multiplicity 4)
V1 0.1315 0.2878 0.1922 (multiplicity 4)
P1 0.2783 0.1971 0.5866 (multiplicity 4)
P2 0.4883 0.2725 0.2979 (multiplicity 4)
O1 0.0336 0.0269 0.7277 (multiplicity 4)
O2 0.0343 0.0959 0.8859 (multiplicity 4)
O3 0.0774 0.4967 0.2922 (multiplicity 4)
O4 0.1737 0.0586 0.0899 (multiplicity 4)
O5 0.2331 0.4150 0.6521 (multiplicity 4)
O6 0.2670 0.3164 0.4962 (multiplicity 4)
O7 0.3167 0.2040 0.2791 (multiplicity 4)
O8 0.4456 0.1096 0.6147 (multiplicity 4)

Calculated values
Total magnetic moment in μB/f.u.: 0.999
Mass density in g cm⁻³: 2.53


Calculated relative energies: model A 0.043; model B 0.000, given in eV/atom


Model A:
Material: Li3V3P4O16
Method: DFT, GGA+U
State: relaxed

Cell: 7.6618 8.1173 10.1949 Å, 90.00 94.22 90.00°
Space group P2_1 (No. 4)
Asymmetric unit:
Li1 0.1380 0.0000 0.0782 (multiplicity 2)
Li2 0.1514 0.0091 0.5763 (multiplicity 2)
Li3 0.3410 0.2727 0.6708 (multiplicity 2)
V1 0.2365 0.6369 0.6244 (multiplicity 2)
V2 0.2425 0.6532 0.1292 (multiplicity 2)
V3 0.3571 0.2812 0.1774 (multiplicity 2)
P1 0.0484 0.8407 0.8543 (multiplicity 2)
P2 0.0504 0.8304 0.3586 (multiplicity 2)
P3 0.4492 0.4565 0.4007 (multiplicity 2)
P4 0.4497 0.4444 0.8933 (multiplicity 2)
O1 0.0043 0.5088 0.6035 (multiplicity 2)
O2 0.0146 0.5140 0.1052 (multiplicity 2)
O3 0.1008 0.2119 0.6561 (multiplicity 2)
O4 0.1127 0.2203 0.1537 (multiplicity 2)
O5 0.1345 0.8328 0.7222 (multiplicity 2)
O6 0.1452 0.8375 0.2260 (multiplicity 2)
O7 0.1832 0.7845 0.9646 (multiplicity 2)
O8 0.1939 0.7784 0.4676 (multiplicity 2)
O9 0.3063 0.5017 0.7905 (multiplicity 2)
O10 0.3078 0.4954 0.2833 (multiplicity 2)
O11 0.3561 0.4472 0.5294 (multiplicity 2)
O12 0.3695 0.4457 0.0333 (multiplicity 2)
O13 0.3949 0.0659 0.0950 (multiplicity 2)
O14 0.3983 0.0715 0.5921 (multiplicity 2)
O15 0.4881 0.7709 0.1423 (multiplicity 2)
O16 0.4964 0.7767 0.6520 (multiplicity 2)

Calculated values
Total magnetic moment in μB/f.u.: 6.000
Mass density in g cm⁻³: 2.91


Model B:
Material: Li3V3P4O16
Method: DFT, GGA+U
State: relaxed

Cell: 8.5921 9.0681 9.2322 Å, 104.63 115.36 101.76°
Space group P-1 (No. 2)
Asymmetric unit:
Li1 0.1080 0.3042 0.1410 (multiplicity 2)
Li2 0.2933 0.5388 0.9964 (multiplicity 2)
Li3 0.3138 0.1746 0.0304 (multiplicity 2)
V1 0.1431 0.1881 0.6158 (multiplicity 2)
V2 0.2090 0.7389 0.7766 (multiplicity 2)
V3 0.4982 0.1938 0.4941 (multiplicity 2)
P1 0.0529 0.0222 0.2273 (multiplicity 2)
P2 0.0634 0.6303 0.3325 (multiplicity 2)
P3 0.4487 0.5287 0.6926 (multiplicity 2)
P4 0.4848 0.0751 0.8069 (multiplicity 2)
O1 0.0168 0.4442 0.2679 (multiplicity 2)
O2 0.0483 0.1329 0.9305 (multiplicity 2)
O3 0.0532 0.8597 0.8048 (multiplicity 2)
O4 0.0619 0.9983 0.3970 (multiplicity 2)
O5 0.0732 0.7096 0.5113 (multiplicity 2)
O6 0.1081 0.3389 0.7901 (multiplicity 2)
O7 0.2340 0.7131 0.3266 (multiplicity 2)
O8 0.2544 0.1073 0.2784 (multiplicity 2)
O9 0.3270 0.1395 0.8010 (multiplicity 2)
O10 0.3313 0.7894 0.0452 (multiplicity 2)
O11 0.3369 0.5802 0.7799 (multiplicity 2)
O12 0.3512 0.4196 0.1612 (multiplicity 2)
O13 0.3639 0.3346 0.6046 (multiplicity 2)
O14 0.4294 0.6104 0.5632 (multiplicity 2)
O15 0.4522 0.9111 0.8315 (multiplicity 2)
O16 0.4728 0.0372 0.6259 (multiplicity 2)

Calculated values
Total magnetic moment in μB/f.u.: 6.000
Mass density in g cm⁻³: 3.13


Calculated relative energies: model A 0.000; model B 0.038, given in eV/atom